ZrPa4Ge5 | PBE | relaxed

```
10
Lattice="-2.046 2.898 10.205 2.046 -2.898 10.205 2.046 2.898 -10.205" Properties=species:S:1:pos:R:3 pbc="T T T"
Zr 0.000 0.000 0.000
Pa 0.000 0.000 4.005
Pa 0.000 0.000 8.176
Pa 0.000 0.000 12.234
Pa 0.000 0.000 16.405
Ge 2.046 0.000 1.931
Ge 2.046 0.000 6.099
Ge 0.000 2.898 0.000
Ge 0.000 2.898 4.106
Ge 0.000 2.898 8.275
```

- DOS(E_F) (states/eV/f.u.) = 11.9
- M_tot (μB/f.u.) = 0.0
- ΔE_f (eV/atom) = -0.483
- electronic total energy (eV per atom) = -7.445